1.
DFT (PBE) results for MnH2Pd after structural relaxation.

a b c (Å): 2.7726 2.7726 15.0847
angles (deg): 90.00 90.00 120.00
Space group R3m (No. 160, hexagonal axes)
Symmetry-distinct sites (fractional):
Mn1 0.0000 0.0000 0.0000 x3
H1 0.0000 0.0000 0.3924 x3
H2 0.0000 0.0000 0.6114 x3
Pd1 0.0000 0.0000 0.1758 x3

Output
Calculated total energy: -5.246 eV/atom
Relative energy among the computed polymorphs: 65 meV per atom
Density: 8.10 g/cm3
DOS(E_F): 6.57 states/eV per cell

2.
DFT (PBE) results for HgSbTe2 after structural relaxation.

a b c (Å): 4.4336 4.4336 6.3081
angles (deg): 90.00 90.00 90.00
Space group P4mm (No. 99)
Symmetry-distinct sites (fractional):
Hg1 0.0000 0.0000 0.0000 x1
Sb1 0.5000 0.5000 0.5077 x1
Te1 0.0000 0.0000 0.4852 x1
Te2 0.5000 0.5000 0.9638 x1

Output
E_form (uncorrected): -0.059 eV/atom
Calculated total energy: -2.735 eV/atom
Relative energy among the computed polymorphs: 21 meV per atom
Density: 7.73 g/cm3
DOS(E_F): 0.77 states/eV per cell

3.
DFT (PBE) results for UPaSi4 after structural relaxation.

a b c (Å): 7.3959 7.3959 7.3959
angles (deg): 90.00 90.00 90.00
Space group F-43m (No. 216)
Symmetry-distinct sites (fractional):
U1 0.0000 0.0000 0.0000 x4
Pa1 0.2500 0.2500 0.2500 x4
Si1 0.1261 0.1261 0.6261 x16

Output
E_form (uncorrected): -0.280 eV/atom
Calculated total energy: -7.359 eV/atom
Relative energy among the computed polymorphs: 151 meV per atom
Density: 9.55 g/cm3
DOS(E_F): 27.92 states/eV per cell

- Among the records above, which one has the highest density?
  UPaSi4